Pr3CdHg5, optimized geometry, DFT GGA-PBE; electronic total energy = -41.49 eV for the cell shown; crystal system = hexagonal; Fermi-level density of states = 6.6 states/eV/f.u.
1.0
9.2386 0.0000 0.0000
-4.6193 8.0009 0.0000
0.0000 0.0000 6.5321
Pr Cd Hg
6 2 10
Direct
0.0000 0.3491 0.2500 Pr
0.0000 0.6509 0.7500 Pr
0.3491 0.0000 0.2500 Pr
0.3491 0.3491 0.7500 Pr
0.6509 0.0000 0.7500 Pr
0.6509 0.6509 0.2500 Pr
0.0000 0.0000 0.0000 Cd
0.0000 0.0000 0.5000 Cd
0.0000 0.3145 0.7500 Hg
0.0000 0.6855 0.2500 Hg
0.3145 0.0000 0.7500 Hg
0.3145 0.3145 0.2500 Hg
0.3333 0.6667 0.0000 Hg
0.3333 0.6667 0.5000 Hg
0.6667 0.3333 0.0000 Hg
0.6667 0.3333 0.5000 Hg
0.6855 0.0000 0.2500 Hg
0.6855 0.6855 0.7500 Hg

Pr2CdHg, optimized geometry, DFT GGA-PBE; electronic total energy = -12.35 eV for the cell shown; crystal system = tetragonal; Fermi-level density of states = 4.1 states/eV/f.u.; relative energy among the computed polymorphs = 0.034 kcal/mol of atoms
1.0
5.4669 0.0000 0.0000
0.0000 5.4669 0.0000
0.0000 0.0000 3.8893
Pr Cd Hg
2 1 1
Direct
0.0000 0.5000 0.0000 Pr
0.5000 0.0000 0.0000 Pr
0.0000 0.0000 0.5000 Cd
0.5000 0.5000 0.5000 Hg

no.,formation enthalpy at 0 K (meV/atom)
1,-443
2,-394